Entry 1:
Entry from the Open Quantum Materials Database: crystalline Lu2HfIn3Ir2 at its relaxed geometry (PBE-GGA).

Values from the calculation:
Total energy = -6.25 eV per atom

Lattice parameters (Å, degrees): 3.4043 13.0610 7.6473 90.00 90.00 90.00
Last column: nearest neighbours and their distance in Å.
Space group Amm2 (No. 38)
Symmetry-distinct sites (fractional):
Lu  0.0000  0.2100  0.0000 (multiplicity 4)  4 Ir 2.88-2.89, 2 In 3.13
Hf  0.0000  0.0000  0.6376 (multiplicity 2)  4 Ir 2.74
In  0.5000  0.0000  0.9775 (multiplicity 2)  2 Ir 2.93, 2 In 3.08, 2 Hf 3.11, 4 Lu 3.23
In  0.5000  0.1150  0.3294 (multiplicity 4)  2 Ir 2.95-3.09, 2 In 3.00-3.08, 4 Lu 3.13-3.28, 2 Hf 3.27
Ir  0.5000  0.1594  0.7071 (multiplicity 4)  2 Hf 2.74, 4 Lu 2.88-2.89, 2 In 2.93-2.95

Entry 2:
Entry from the Open Quantum Materials Database: crystalline HoGaHgTe3 at its relaxed geometry (PBE-GGA).

Values from the calculation:
Total energy = -3.58 eV per atom

Lattice parameters (Å, degrees): 4.2678 16.6229 11.6747 90.00 90.00 90.00
Last column: nearest neighbours and their distance in Å.
Space group Cmcm (No. 63)
Symmetry-distinct sites (fractional):
Ho  0.0000  0.0000  0.0000 (multiplicity 4)  6 Te 3.08-3.10
Ga  0.0000  0.4549  0.2500 (multiplicity 4)  4 Te 2.63-2.80
Hg  0.0000  0.2609  0.7500 (multiplicity 4)  8 Te 3.61-4.04
Te  0.0000  0.0637  0.2500 (multiplicity 4)  2 Ga 2.80, 2 Ho 3.10
Te  0.0000  0.3723  0.0578 (multiplicity 8)  1 Ga 2.63

Entry 3:
Entry from the Open Quantum Materials Database: crystalline RbAg2Ge2 at its relaxed geometry (PBE-GGA).

Values from the calculation:
Total energy = -3.14 eV per atom

Lattice parameters (Å, degrees): 4.8564 4.8564 10.2329 90.00 90.00 90.00
Last column: nearest neighbours and their distance in Å.
Space group I4/mmm (No. 139)
Symmetry-distinct sites (fractional):
Rb  0.0000  0.0000  0.0000 (multiplicity 2)  8 Ag 3.53, 10 Ge 3.66-3.86
Ag  0.0000  0.5000  0.2500 (multiplicity 4)  4 Ge 2.76
Ge  0.0000  0.0000  0.3776 (multiplicity 4)  1 Ge 2.50, 4 Ag 2.76

Entry 4:
Entry from the Open Quantum Materials Database: crystalline Cs2Sb4Au3 at its relaxed geometry (PBE-GGA).

Values from the calculation:
Total energy = -3.43 eV per atom

Lattice parameters (Å, degrees): 7.6643 12.7512 13.4760 90.00 90.00 90.00
Last column: nearest neighbours and their distance in Å.
Space group Fmmm (No. 69)
Symmetry-distinct sites (fractional):
Cs  0.0000  0.0000  0.1461 (multiplicity 8)  4 Sb 3.82-4.17, 1 Cs 3.94, 4 Au 4.21
Sb  0.0000  0.1738  0.3773 (multiplicity 16)  3 Au 2.71-2.77
Au  0.0000  0.0000  0.5000 (multiplicity 4)  4 Sb 2.77
Au  0.2500  0.2500  0.0000 (multiplicity 8)  4 Sb 2.71